Entry 1:
Material: MnCuC2
Method: DFT, GGA-PBE
State: relaxed

Its formation energy is 0.881 eV per atom. Its theoretical density is 5.53 g/cm3. The calculation puts the total magnetization at 0.00 μB per atom. As for the energy above the most stable polymorph in this dataset: 0.00 eV/f.u.

POSCAR file:
```
MnCuC2
1.0
4.432 0.000 0.000
0.000 4.432 0.000
2.216 2.216 4.356
C Cu Mn
4 2 2
direct
0.162 0.625 0.250
0.875 0.838 0.750
0.588 0.125 0.250
0.375 0.412 0.750
0.000 0.000 0.000
0.750 0.250 0.500
0.500 0.500 0.000
0.250 0.750 0.500
```


Entry 2:
Material: AcCeCo4
Method: DFT, GGA-PBE
State: relaxed

Its formation energy is -0.013 eV per atom. Its theoretical density is 10.43 g/cm3. The calculation puts the total magnetization at 0.18 μB per atom.

POSCAR file:
```
AcCeCo4
1.0
5.139 0.000 0.000
2.569 4.451 0.000
2.569 1.484 4.196
Co Ac Ce
4 1 1
direct
0.626 0.121 0.626
0.626 0.626 0.626
0.121 0.626 0.626
0.626 0.626 0.121
0.250 0.250 0.250
0.000 0.000 0.000
```


Entry 3:
Material: Pr2BeZnNi6
Method: DFT, GGA-PBE
State: relaxed

Its formation energy is -0.257 eV per atom. Its theoretical density is 7.34 g/cm3. The calculation puts the total magnetization at 0.00 μB per atom.

POSCAR file:
```
Pr2BeZnNi6
1.0
6.043 -0.193 -0.920
-0.306 6.221 1.132
2.148 3.766 4.612
Pr Ni Be Zn
2 6 1 1
direct
0.799 0.250 0.450
0.201 0.750 0.550
0.418 0.249 0.831
0.250 0.264 0.517
0.750 0.736 0.483
0.750 0.233 0.986
0.582 0.751 0.169
0.250 0.767 0.014
0.000 0.000 0.000
0.500 0.500 0.000
```